The following is a GGA+U calculation of crystalline MnNbVF2 at its relaxed geometry, from Alexandria via LeMat-Bulk.

The calculation puts the total energy at -29.55 eV per cell. The magnetization is 5.930 μB/f.u.

a = 3.9115 Å, b = 3.9115 Å, c = 6.5870 Å
α = 90.00°, β = 90.00°, γ = 90.00°
Closest atoms and distances in Å follow each position.
Space group P4/mmm (No. 123)
Symmetry-distinct sites (fractional):
Mn 0.0000 0.0000 0.0000  4 F 1.96
Nb 0.5000 0.5000 0.5000  4 V 2.77
V 0.0000 0.0000 0.5000  4 Nb 2.77
F 0.0000 0.5000 0.0000  2 Mn 1.96